Here is a geometry-optimized HoErTe3 structure from Alexandria via LeMat-Bulk. Energies are from GGA-PBE.

Output
ΔE_f (raw) in eV per atom: -1.332
DFT total energy in eV/atom: -5.045
Volume in A^3/atom: 31.7

Lattice parameters (Å, degrees): 4.201 7.352 10.717 90.00 90.00 106.60
Sites, in units of the cell vectors:
Te: 0.096 0.193 0.750
Te: 0.352 0.704 0.567
Te: 0.904 0.807 0.250
Te: 0.352 0.704 0.933
Te: 0.648 0.296 0.067
Te: 0.648 0.296 0.433
Ho: 0.754 0.507 0.750
Ho: 0.246 0.493 0.250
Er: 0.000 0.000 0.500
Er: 0.000 0.000 0.000

---

Here is a geometry-optimized PmNd2Ho4Sc structure from Alexandria via LeMat-Bulk. Energies are from GGA-PBE.

Output
DFT formation energy in eV/atom: 0.034
DFT total energy in eV/atom: -4.832
Volume in A^3/atom: 31.5

Lattice parameters (Å, degrees): 7.084 12.287 12.272 146.47 106.64 90.02
Sites, in units of the cell vectors:
Pm: 0.000 0.500 0.500
Pm: 0.000 0.500 0.000
Ho: 0.249 0.251 0.494
Ho: 0.251 0.249 0.006
Ho: 0.248 0.752 0.998
Ho: 0.749 0.751 0.994
Ho: 0.751 0.749 0.506
Ho: 0.752 0.248 0.002
Ho: 0.252 0.748 0.501
Ho: 0.748 0.252 0.499
Sc: 0.500 0.500 0.500
Sc: 0.000 0.000 0.000
Nd: 0.500 0.000 0.500
Nd: 0.000 0.000 0.500
Nd: 0.500 0.000 0.000
Nd: 0.500 0.500 0.000

---

Here is a geometry-optimized AlCo2P structure from Alexandria via LeMat-Bulk. Energies are from GGA-PBE.

Output
DFT formation energy in eV/atom: -0.303
DFT total energy in eV/atom: -6.144
Volume in A^3/atom: 11.6

Lattice parameters (Å, degrees): 3.968 3.968 4.610 79.39 79.39 40.48
Each line ends with the local moment (μB).
Sites, in units of the cell vectors:
Co: 0.494 0.494 0.521  0.37
Co: 0.006 0.006 0.979  0.37
Al: 0.250 0.250 0.250  -0.01
P: 0.750 0.750 0.750  0.00